# 1
Entry from the Alexandria database: crystalline AcScIr at its relaxed geometry (PBE).

Output
mass density: 9.51 g/cm³
N(E_F): 0.83 states/eV per atom
E_form: -678 meV/atom
calculated volume: 27.0 Å³/atom
SG: C2/m, No. 12
calculated total energy: -7.1113 eV per atom
energy above the most stable polymorph in this dataset: 0.0000 eV/atom

Geometry as POSCAR:
```
AcScIr
1.0
3.030 -3.030 0.000
3.030 3.030 0.000
-0.014 0.000 8.829
Ac Sc Ir
2 2 2
Cartesian
1.513 0.000 1.466 Ac
4.533 0.000 7.363 Ac
3.023 1.516 4.414 Sc
3.023 -1.516 4.414 Sc
1.506 0.000 6.115 Ir
4.540 0.000 2.713 Ir
```

=====

# 2
Entry from the Alexandria database: crystalline AcSc2Ir9 at its relaxed geometry (PBE).

Output
mass density: 16.00 g/cm³
N(E_F): 1.19 states/eV per atom
E_form: -486 meV/atom
calculated volume: 17.7 Å³/atom
SG: R-3m, No. 166
calculated total energy: -8.5296 eV per atom

Geometry as POSCAR:
```
AcSc2Ir9
1.0
2.665 1.539 8.633
-2.665 1.539 8.633
0.000 -3.077 8.633
Ac Sc Ir
1 2 9
Cartesian
0.000 0.000 0.000 Ac
0.000 0.000 3.652 Sc
0.000 0.000 22.247 Sc
-1.352 -0.780 10.851 Ir
0.000 0.000 8.666 Ir
0.000 -1.561 15.048 Ir
-1.352 0.780 15.048 Ir
0.000 0.000 12.950 Ir
1.352 -0.780 10.851 Ir
0.000 1.561 10.851 Ir
0.000 0.000 17.233 Ir
1.352 0.780 15.048 Ir
```

=====

# 3
Entry from the Alexandria database: crystalline AcSc2Ir2 at its relaxed geometry (PBE).

Output
mass density: 10.15 g/cm³
N(E_F): 0.54 states/eV per atom
E_form: -831 meV/atom
calculated volume: 22.9 Å³/atom
SG: I4/mmm, No. 139
calculated total energy: -7.7299 eV per atom

Geometry as POSCAR:
```
AcSc2Ir2
1.0
-2.187 2.187 5.996
2.187 -2.187 5.996
2.187 2.187 -5.996
Ac Sc Ir
1 2 2
Cartesian
0.000 0.000 0.000 Ac
2.187 0.000 2.998 Sc
0.000 2.187 2.998 Sc
0.000 0.000 4.633 Ir
0.000 0.000 7.360 Ir
```

=====

# 4
Entry from the Alexandria database: crystalline AcSc3Ir at its relaxed geometry (PBE).

Output
mass density: 6.62 g/cm³
N(E_F): 1.05 states/eV per atom
E_form: -358 meV/atom
calculated volume: 27.8 Å³/atom
SG: Pm-3m, No. 221
calculated total energy: -6.7510 eV per atom

Geometry as POSCAR:
```
AcSc3Ir
1.0
5.181 0.000 0.000
0.000 5.181 0.000
0.000 0.000 5.181
Ac Sc Ir
1 3 1
Cartesian
0.000 0.000 0.000 Ac
0.000 2.590 2.590 Sc
2.590 0.000 2.590 Sc
2.590 2.590 0.000 Sc
2.590 2.590 2.590 Ir
```

=====

# 5
Entry from the Alexandria database: crystalline AcScIr at its relaxed geometry (PBE).

Output
mass density: 9.27 g/cm³
N(E_F): 1.23 states/eV per atom
E_form: -439 meV/atom
calculated volume: 27.7 Å³/atom
SG: F-43m, No. 216
calculated total energy: -6.8725 eV per atom
energy above the most stable polymorph in this dataset: 0.2388 eV/atom

Geometry as POSCAR:
```
AcScIr
1.0
0.000 3.464 3.464
3.464 0.000 3.464
3.464 3.464 0.000
Ac Sc Ir
1 1 1
Cartesian
0.000 0.000 0.000 Ac
3.464 3.464 3.464 Sc
5.196 5.196 5.196 Ir
```

=====

# 6
Entry from the Alexandria database: crystalline Ac2ScSi3Ir4 at its relaxed geometry (PBE).

Output
mass density: 11.61 g/cm³
N(E_F): 0.60 states/eV per atom
formation energy (no corrections): -939 meV per atom
calculated volume: 19.3 Å³/atom
SG: P-4m2, No. 115
calculated total energy: -7.5651 eV per atom

Geometry as POSCAR:
```
Ac2ScSi3Ir4
1.0
4.222 0.000 0.000
0.000 4.222 0.000
0.000 0.000 10.851
Ac Sc Si Ir
2 1 3 4
Cartesian
0.000 2.111 2.644 Ac
2.111 0.000 8.207 Ac
0.000 0.000 5.426 Sc
0.000 2.111 9.572 Si
2.111 0.000 1.279 Si
2.111 2.111 5.426 Si
0.000 0.000 0.000 Ir
0.000 2.111 7.031 Ir
2.111 0.000 3.821 Ir
2.111 2.111 0.000 Ir
```

=====

What is the formula in the fifth record? AcScIr

=====

The lowest calculated volume belongs to which entry? AcSc2Ir9

=====

What is the formula in the first record? AcScIr

=====

The highest mass density belongs to which entry? AcSc2Ir9